Entry 1:
Below is crystalline Tm3CrC3 at its relaxed geometry, with properties calculated at the GGA-PBE level.

Output
E_tot: -7.6140 eV/atom

Unit cell a=6.644 b=6.644 c=5.005 alpha=90.00 beta=90.00 gamma=100.75
Element x y z (fractional)
Tm 0.110 0.890 0.750
Tm 0.168 0.405 0.750
Tm 0.405 0.168 0.250
Tm 0.595 0.832 0.750
Tm 0.832 0.595 0.250
Tm 0.890 0.110 0.250
Cr 0.305 0.695 0.250
Cr 0.695 0.305 0.750
C 0.124 0.876 0.250
C 0.176 0.424 0.250
C 0.424 0.176 0.750
C 0.576 0.824 0.250
C 0.824 0.576 0.750
C 0.876 0.124 0.750

***

Entry 2:
Below is crystalline TmCrC at its relaxed geometry, with properties calculated at the GGA-PBE level.

Output
E_tot: -7.6322 eV/atom

Unit cell a=3.477 b=3.477 c=3.992 alpha=90.00 beta=90.00 gamma=120.00
Element x y z (fractional)
Tm 0.000 0.000 0.000
Cr 0.667 0.333 0.500
C 0.333 0.667 0.500

***

Entry 3:
Below is crystalline TmUCrC3 at its relaxed geometry, with properties calculated at the GGA-PBE level.

Output
E_tot: -9.0078 eV/atom

Unit cell a=6.758 b=6.758 c=6.628 alpha=104.35 beta=104.35 gamma=32.17
Element x y z (fractional)
Tm 0.148 0.148 0.076
Tm 0.852 0.852 0.924
U 0.145 0.145 0.574
U 0.855 0.855 0.426
Cr 0.499 0.499 0.219
Cr 0.501 0.501 0.781
C 0.003 0.003 0.263
C 0.333 0.333 0.645
C 0.344 0.344 0.194
C 0.656 0.656 0.806
C 0.667 0.667 0.355
C 0.997 0.997 0.737

***

Entry 4:
Below is crystalline Y2TmCr2C4 at its relaxed geometry, with properties calculated at the GGA-PBE level.

Output
E_tot: -8.3218 eV/atom

Unit cell a=6.714 b=6.714 c=5.953 alpha=109.31 beta=109.31 gamma=29.35
Element x y z (fractional)
Y 0.134 0.134 0.042
Y 0.866 0.866 0.958
Tm 0.000 0.000 0.500
Cr 0.321 0.321 0.511
Cr 0.679 0.679 0.489
C 0.215 0.215 0.688
C 0.458 0.458 0.745
C 0.542 0.542 0.255
C 0.785 0.785 0.312

***

Entry 5:
Below is crystalline YTm2Cr2C4 at its relaxed geometry, with properties calculated at the GGA-PBE level.

Output
E_tot: -8.0675 eV/atom

Unit cell a=6.706 b=6.706 c=5.931 alpha=110.35 beta=110.35 gamma=29.18
Element x y z (fractional)
Y 0.000 0.000 0.000
Tm 0.135 0.135 0.544
Tm 0.865 0.865 0.456
Cr 0.321 0.321 0.017
Cr 0.679 0.679 0.983
C 0.217 0.217 0.196
C 0.461 0.461 0.258
C 0.539 0.539 0.742
C 0.783 0.783 0.804

***

Entry 6:
Below is crystalline TmZnCrC at its relaxed geometry, with properties calculated at the GGA-PBE level.

Output
E_tot: -6.2709 eV/atom

Unit cell a=3.348 b=3.348 c=10.483 alpha=90.00 beta=90.00 gamma=90.00
Element x y z (fractional)
Tm 0.250 0.250 0.237
Tm 0.750 0.750 0.763
Zn 0.250 0.750 0.500
Zn 0.750 0.250 0.500
Cr 0.250 0.750 0.000
Cr 0.750 0.250 0.000
C 0.250 0.250 0.873
C 0.750 0.750 0.127

***

Entry 7:
Below is crystalline UCr3C2 at its relaxed geometry, with properties calculated at the GGA-PBE level.

Output
E_tot: -9.7810 eV/atom

Unit cell a=6.030 b=6.030 c=7.144 alpha=115.00 beta=115.00 gamma=36.18
Element x y z (fractional)
U 0.128 0.128 0.052
U 0.872 0.872 0.948
Cr 0.046 0.046 0.381
Cr 0.283 0.283 0.606
Cr 0.383 0.383 0.328
Cr 0.617 0.617 0.672
Cr 0.717 0.717 0.394
Cr 0.954 0.954 0.619
C 0.167 0.167 0.742
C 0.473 0.473 0.766
C 0.527 0.527 0.234
C 0.833 0.833 0.258

***

Entry 8:
Below is crystalline UCr2C at its relaxed geometry, with properties calculated at the GGA-PBE level.

Output
E_tot: -9.5451 eV/atom

Unit cell a=2.624 b=2.624 c=7.104 alpha=90.00 beta=90.00 gamma=90.00
Element x y z (fractional)
U 0.000 0.000 0.000
Cr 0.500 0.500 0.346
Cr 0.500 0.500 0.654
C 0.000 0.000 0.500

***

Entry 9:
Below is crystalline U2VCr2C4 at its relaxed geometry, with properties calculated at the GGA-PBE level.

Output
E_tot: -9.9204 eV/atom

Unit cell a=6.639 b=6.639 c=5.528 alpha=102.15 beta=102.15 gamma=26.01
Element x y z (fractional)
U 0.123 0.123 0.029
U 0.877 0.877 0.971
V 0.000 0.000 0.500
Cr 0.325 0.325 0.470
Cr 0.675 0.675 0.530
C 0.243 0.243 0.741
C 0.466 0.466 0.735
C 0.534 0.534 0.265
C 0.757 0.757 0.259

***

Entry 10:
Below is crystalline YU2Cr2C4 at its relaxed geometry, with properties calculated at the GGA-PBE level.

Output
E_tot: -9.4750 eV/atom

Unit cell a=6.743 b=6.743 c=5.914 alpha=106.88 beta=106.88 gamma=27.60
Element x y z (fractional)
Y 0.000 0.000 0.000
U 0.129 0.129 0.537
U 0.871 0.871 0.463
Cr 0.315 0.315 0.990
Cr 0.685 0.685 0.010
C 0.229 0.229 0.230
C 0.449 0.449 0.262
C 0.551 0.551 0.738
C 0.771 0.771 0.770

***

Entry 11:
Below is crystalline ZrU2CrC4 at its relaxed geometry, with properties calculated at the GGA-PBE level.

Output
E_tot: -9.7569 eV/atom

Unit cell a=5.768 b=5.768 c=11.660 alpha=90.00 beta=90.00 gamma=146.37
Element x y z (fractional)
Zr 0.113 0.887 0.750
Zr 0.887 0.113 0.250
U 0.362 0.638 0.548
U 0.362 0.638 0.952
U 0.638 0.362 0.048
U 0.638 0.362 0.452
Cr 0.150 0.850 0.250
Cr 0.850 0.150 0.750
C 0.000 0.000 0.000
C 0.000 0.000 0.500
C 0.276 0.724 0.136
C 0.276 0.724 0.364
C 0.445 0.555 0.750
C 0.555 0.445 0.250
C 0.724 0.276 0.636
C 0.724 0.276 0.864

***

Entry 12:
Below is crystalline ZrU2Cr2C4 at its relaxed geometry, with properties calculated at the GGA-PBE level.

Output
E_tot: -9.8254 eV/atom

Unit cell a=6.572 b=6.572 c=5.882 alpha=105.71 beta=105.71 gamma=27.91
Element x y z (fractional)
Zr 0.000 0.000 0.000
U 0.126 0.126 0.537
U 0.874 0.874 0.463
Cr 0.319 0.319 0.990
Cr 0.681 0.681 0.010
C 0.228 0.228 0.228
C 0.459 0.459 0.255
C 0.541 0.541 0.745
C 0.772 0.772 0.772